# 1
The following is a DFT calculation (PBE) of a geometry-optimized Ti3GaIr structure.

a = 4.7459 Å, b = 4.7459 Å, c = 4.7459 Å
α = 90.00°, β = 90.00°, γ = 90.00°
Atoms (fractional coordinates):
1 Ir 0.0000 0.0000 0.0000
2 Ga 0.5000 0.5000 0.5000
3 Ti 0.0000 0.5000 0.0000
4 Ti 0.0000 0.0000 0.5000
5 Ti 0.5000 0.0000 0.0000

Summary:
offset from the most stable computed form: 501 meV per atom

---

# 2
The following is a DFT calculation (PBE) of a geometry-optimized Ti4GaIr5 structure.

a = 2.9241 Å, b = 2.9241 Å, c = 17.5136 Å
α = 90.00°, β = 90.00°, γ = 90.00°
Atoms (fractional coordinates):
1 Ti 0.0000 0.0000 0.1956
2 Ti 0.0000 0.0000 0.3988
3 Ti 0.0000 0.0000 0.6012
4 Ti 0.0000 0.0000 0.8044
5 Ga 0.0000 0.0000 0.0000
6 Ir 0.5000 0.5000 0.0977
7 Ir 0.5000 0.5000 0.2982
8 Ir 0.5000 0.5000 0.5000
9 Ir 0.5000 0.5000 0.7018
10 Ir 0.5000 0.5000 0.9023

Summary:
uncorrected energy: -86.71 eV per cell

---

# 3
The following is a DFT calculation (PBE) of a geometry-optimized Ti8Ga6Ir structure.

a = 7.4907 Å, b = 7.4907 Å, c = 6.9256 Å
α = 57.26°, β = 57.26°, γ = 60.00°
Atoms (fractional coordinates):
1 Ti 0.5492 0.2286 0.3378
2 Ti 0.7714 0.1157 0.6622
3 Ti 0.1157 0.4508 0.6622
4 Ti 0.6646 0.6646 0.0063
5 Ti 0.3354 0.3354 0.9937
6 Ti 0.8843 0.5492 0.3378
7 Ti 0.2286 0.8843 0.3378
8 Ti 0.4508 0.7714 0.6622
9 Ga 0.3813 0.0545 0.8257
10 Ga 0.9455 0.2615 0.1743
11 Ga 0.2615 0.6187 0.1743
12 Ga 0.7385 0.3813 0.8257
13 Ga 0.0545 0.7385 0.8257
14 Ga 0.6187 0.9455 0.1743
15 Ir 0.0000 0.0000 0.0000

Summary:
uncorrected energy: -92.05 eV per cell

---

# 4
The following is a DFT calculation (PBE) of a geometry-optimized Ti6Ga3Ir structure.

a = 2.9698 Å, b = 10.2036 Å, c = 12.5494 Å
α = 119.01°, β = 90.00°, γ = 90.00°
Atoms (fractional coordinates):
1 Ti 0.7500 0.5500 0.6463
2 Ti 0.2500 0.4500 0.3537
3 Ti 0.7500 0.9184 0.0623
4 Ti 0.2500 0.0816 0.9377
5 Ti 0.7500 0.3398 0.9399
6 Ti 0.2500 0.6602 0.0601
7 Ti 0.7500 0.7090 0.3062
8 Ti 0.2500 0.2910 0.6938
9 Ti 0.7500 0.0764 0.4592
10 Ti 0.2500 0.9236 0.5408
11 Ti 0.7500 0.8668 0.7446
12 Ti 0.2500 0.1332 0.2554
13 Ga 0.7500 0.5332 0.8551
14 Ga 0.2500 0.4668 0.1449
15 Ga 0.7500 0.6800 0.5051
16 Ga 0.2500 0.3200 0.4949
17 Ga 0.7500 0.2437 0.1407
18 Ga 0.2500 0.7563 0.8593
19 Ir 0.7500 0.1061 0.7323
20 Ir 0.2500 0.8939 0.2677

Summary:
offset from the most stable computed form: 152 meV per atom

---

# 5
The following is a DFT calculation (PBE) of a geometry-optimized Ti3Ga3Ir2 structure.

a = 5.4227 Å, b = 5.4949 Å, c = 17.0179 Å
α = 90.00°, β = 90.00°, γ = 90.00°
Atoms (fractional coordinates):
1 Ti 0.0899 0.5151 0.3769
2 Ti 0.5899 0.9849 0.6231
3 Ti 0.9101 0.4849 0.8769
4 Ti 0.4101 0.0151 0.1231
5 Ti 0.9101 0.4849 0.6231
6 Ti 0.4101 0.0151 0.3769
7 Ti 0.0899 0.5151 0.1231
8 Ti 0.5899 0.9849 0.8769
9 Ti 0.6540 0.3124 0.2500
10 Ti 0.1540 0.1876 0.7500
11 Ti 0.3460 0.6876 0.7500
12 Ti 0.8460 0.8124 0.2500
13 Ga 0.1587 0.2129 0.2500
14 Ga 0.6587 0.2871 0.7500
15 Ga 0.8413 0.7871 0.7500
16 Ga 0.3413 0.7129 0.2500
17 Ga 0.6675 0.2957 0.4932
18 Ga 0.1675 0.2043 0.5068
19 Ga 0.3325 0.7043 0.9932
20 Ga 0.8325 0.7957 0.0068
21 Ga 0.3325 0.7043 0.5068
22 Ga 0.8325 0.7957 0.4932
23 Ga 0.6675 0.2957 0.0068
24 Ga 0.1675 0.2043 0.9932
25 Ir 0.8960 0.0822 0.3725
26 Ir 0.3960 0.4178 0.6275
27 Ir 0.1040 0.9178 0.8725
28 Ir 0.6040 0.5822 0.1275
29 Ir 0.1040 0.9178 0.6275
30 Ir 0.6040 0.5822 0.3725
31 Ir 0.8960 0.0822 0.1275
32 Ir 0.3960 0.4178 0.8725

Summary:
uncorrected energy: -219.31 eV per cell

---

# 6
The following is a DFT calculation (PBE) of a geometry-optimized Ti2Ga3Ir structure.

a = 4.4146 Å, b = 5.2807 Å, c = 5.5257 Å
α = 118.54°, β = 113.54°, γ = 90.00°
Atoms (fractional coordinates):
1 Ti 0.6721 0.1721 0.3442
2 Ti 0.3279 0.8279 0.6558
3 Ga 0.3434 0.3434 0.6868
4 Ga 0.0000 0.0000 0.0000
5 Ga 0.6566 0.6566 0.3132
6 Ir 0.0000 0.5000 0.0000

Summary:
uncorrected energy: -34.46 eV per cell

---

# 7
The following is a DFT calculation (PBE) of a geometry-optimized Ti6Ga3Ir structure.

a = 4.5387 Å, b = 7.6307 Å, c = 9.6317 Å
α = 108.77°, β = 90.00°, γ = 90.00°
Atoms (fractional coordinates):
1 Ti 0.2500 0.4552 0.0875
2 Ti 0.7500 0.5448 0.9125
3 Ti 0.2500 0.1545 0.1921
4 Ti 0.7500 0.8455 0.8079
5 Ti 0.2500 0.6580 0.6863
6 Ti 0.7500 0.3420 0.3137
7 Ti 0.2500 0.2458 0.4910
8 Ti 0.7500 0.7542 0.5090
9 Ti 0.2500 0.8515 0.2952
10 Ti 0.7500 0.1485 0.7048
11 Ti 0.2500 0.0661 0.8847
12 Ti 0.7500 0.9339 0.1153
13 Ga 0.2500 0.5391 0.3826
14 Ga 0.7500 0.4609 0.6174
15 Ga 0.2500 0.3624 0.7880
16 Ga 0.7500 0.6376 0.2120
17 Ga 0.2500 0.7737 0.9817
18 Ga 0.7500 0.2263 0.0183
19 Ir 0.2500 0.9511 0.5973
20 Ir 0.7500 0.0489 0.4027

Summary:
offset from the most stable computed form: 0 meV per atom

---

# 8
The following is a DFT calculation (PBE) of a geometry-optimized Ti3Ga2Ir structure.

a = 5.3842 Å, b = 5.2657 Å, c = 7.3543 Å
α = 103.40°, β = 111.47°, γ = 90.00°
Atoms (fractional coordinates):
1 Ti 0.6404 0.2500 0.0000
2 Ti 0.3596 0.7500 0.0000
3 Ti 0.2823 0.0767 0.3303
4 Ti 0.9520 0.4233 0.6697
5 Ti 0.0480 0.5767 0.3303
6 Ti 0.7177 0.9233 0.6697
7 Ga 0.5449 0.5372 0.3291
8 Ga 0.7842 0.0372 0.3291
9 Ga 0.2158 0.9628 0.6709
10 Ga 0.4551 0.4628 0.6709
11 Ir 0.8637 0.7500 0.0000
12 Ir 0.1363 0.2500 0.0000

Summary:
offset from the most stable computed form: 0 meV per atom